7
Lattice="-3.6220 3.6220 3.6220 3.6220 -3.6220 3.6220 3.6220 3.6220 -3.6220" Properties=species:S:1:pos:R:3 comment="CsZn6 (GGA-PBE, relaxed)" dft_energy_ev_per_cell=-7.1 density_g_cm3=4.590 pbc="T T T"
Cs 0.0000 0.0000 0.0000
Zn 3.6220 1.8110 0.0000
Zn 3.6220 0.0000 1.8110
Zn 1.8110 3.6220 0.0000
Zn 1.8110 0.0000 3.6220
Zn 0.0000 3.6220 1.8110
Zn 0.0000 1.8110 3.6220